Material: LiCa2Ni2
Method: DFT, GGA-PBE
State: relaxed

Structure (POSCAR):
```
LiCa2Ni2
1.0
-2.7168 2.7168 3.8024
2.7168 -2.7168 3.8024
2.7168 2.7168 -3.8024
Li Ca Ni
1 2 2
Direct
0.0000 0.0000 0.0000 Li
0.2500 0.7500 0.5000 Ca
0.7500 0.2500 0.5000 Ca
0.3485 0.3485 0.0000 Ni
0.6515 0.6515 0.0000 Ni
```

Summary:
calculated formation energy: 0.141 eV/atom
DOS at the Fermi energy: 2.55 states/eV/f.u.
excess energy over the best structure of this formula in the dataset: 222 meV/atom